Record 1
The following is a DFT calculation (PBE) of an optimized crystal structure of Ho3Ga3Au2.

abc: 4.422 5.748 14.639
angles: 90.00 90.00 112.62
Sites, in units of the cell vectors:
Ho1 0.910 0.820 0.390
Ho2 0.090 0.180 0.890
Ho3 0.910 0.820 0.110
Ho4 0.090 0.180 0.610
Ho5 0.640 0.280 0.250
Ho6 0.360 0.720 0.750
Ga1 0.611 0.223 0.464
Ga2 0.389 0.777 0.964
Ga3 0.611 0.223 0.036
Ga4 0.389 0.777 0.536
Ga5 0.356 0.712 0.250
Ga6 0.644 0.288 0.750
Au1 0.799 0.598 0.895
Au2 0.201 0.402 0.395
Au3 0.799 0.598 0.605
Au4 0.201 0.402 0.105

Calculated values
Magnetic moment, μB per formula unit: 0.0
Calculated volume, Å³ per cell: 343
Formation energy from the elements, meV/atom: -758
VASP energy, hartree per atom: -0.1628

Record 2
The following is a DFT calculation (PBE) of an optimized crystal structure of CePr3Bi4.

abc: 6.551 6.551 6.551
angles: 90.00 90.00 90.00
Site moments in Bohr magnetons follow the coordinates.
Sites, in units of the cell vectors:
Pr1 0.000 0.500 0.500  0.00
Pr2 0.500 0.000 0.500  0.00
Pr3 0.500 0.500 0.000  0.00
Bi1 0.500 0.000 0.000  -0.02
Bi2 0.000 0.500 0.000  -0.02
Bi3 0.000 0.000 0.500  -0.02
Bi4 0.500 0.500 0.500  0.00
Ce1 0.000 0.000 0.000  0.82

Calculated values
Magnetic moment, μB per formula unit: 0.8
Calculated volume, Å³ per cell: 281
Formation energy from the elements, meV/atom: -921
VASP energy, hartree per atom: -0.1983

Record 3
The following is a DFT calculation (PBE) of an optimized crystal structure of CsCdAsRh.

abc: 4.110 4.110 14.326
angles: 90.00 90.00 90.00
Sites, in units of the cell vectors:
Cs1 0.750 0.750 0.246
Cs2 0.250 0.250 0.754
Cd1 0.250 0.750 0.500
Cd2 0.750 0.250 0.500
As1 0.750 0.750 0.905
As2 0.250 0.250 0.095
Rh1 0.750 0.250 0.000
Rh2 0.250 0.750 0.000

Calculated values
Magnetic moment, μB per formula unit: 0.0
Calculated volume, Å³ per cell: 242
Formation energy from the elements, meV/atom: -396
VASP energy, hartree per atom: -0.1411

Record 4
The following is a DFT calculation (PBE) of an optimized crystal structure of TbMn5B3.

abc: 3.342 5.963 10.548
angles: 90.00 90.00 106.27
Site moments in Bohr magnetons follow the coordinates.
Sites, in units of the cell vectors:
Tb1 0.832 0.663 0.750  -0.06
Tb2 0.168 0.337 0.250  -0.06
Mn1 0.807 0.613 0.444  1.05
Mn2 0.193 0.387 0.944  1.05
Mn3 0.000 0.000 0.500  -1.31
Mn4 0.000 0.000 0.000  -1.31
Mn5 0.449 0.899 0.149  0.75
Mn6 0.551 0.101 0.851  0.75
Mn7 0.551 0.101 0.649  0.75
Mn8 0.807 0.613 0.056  1.05
Mn9 0.193 0.387 0.556  1.05
Mn10 0.449 0.899 0.351  0.75
B1 0.378 0.757 0.951  -0.03
B2 0.864 0.727 0.250  -0.07
B3 0.378 0.757 0.549  -0.03
B4 0.622 0.243 0.451  -0.03
B5 0.136 0.273 0.750  -0.07
B6 0.622 0.243 0.049  -0.03

Calculated values
Magnetic moment, μB per formula unit: 2.1
Calculated volume, Å³ per cell: 202
Formation energy from the elements, meV/atom: -231
VASP energy, hartree per atom: -0.2964